VASP calculation (PBE-GGA) on an optimized crystal structure of ScBe2Pb.

Values from the calculation:
**Volume**: 20.1 Å³ per atom
**VASP energy**: -15.49 eV per formula unit

a b c (Å): 4.284 4.284 9.277
angles (deg): 76.65 76.65 90.00
Element x y z (fractional)
Be: 0.875 0.125 0.750
Be: 0.875 0.625 0.250
Be: 0.375 0.125 0.750
Be: 0.875 0.125 0.250
Sc: 0.250 0.750 0.500
Sc: 0.500 0.500 0.000
Pb: 0.750 0.250 0.500
Pb: 0.000 0.000 0.000

=====

VASP calculation (PBE-GGA) on an optimized crystal structure of ScBe3Pb.

Values from the calculation:
**Volume**: 19.9 Å³ per atom
**VASP energy**: -15.32 eV per formula unit
**E above lowest polymorph**: 0.000 eV per atom

a b c (Å): 4.631 4.631 4.631
angles (deg): 90.00 90.00 90.00
Element x y z (fractional)
Be: 0.500 0.000 0.000
Be: 0.000 0.500 0.000
Be: 0.000 0.000 0.500
Sc: 0.500 0.500 0.500
Pb: 0.000 0.000 0.000

=====

VASP calculation (PBE-GGA) on an optimized crystal structure of ScBePb2.

Values from the calculation:
**Volume**: 23.3 Å³ per atom
**VASP energy**: -16.64 eV per formula unit

a b c (Å): 3.532 4.267 6.182
angles (deg): 90.00 90.00 90.00
Element x y z (fractional)
Sc: 0.000 0.000 0.509
Be: 0.500 0.500 0.724
Pb: 0.000 0.000 0.975
Pb: 0.500 0.500 0.292

=====

VASP calculation (PBE-GGA) on an optimized crystal structure of ScBePb2.

Values from the calculation:
**Volume**: 24.5 Å³ per atom
**VASP energy**: -15.81 eV per formula unit

a b c (Å): 5.173 5.173 5.173
angles (deg): 60.00 60.00 60.00
Element x y z (fractional)
Be: 0.500 0.500 0.500
Sc: 0.750 0.750 0.750
Pb: 0.250 0.250 0.250
Pb: 0.000 0.000 0.000